Record 1
This record from Alexandria via LeMat-Bulk describes SmHo7Sc4 after structural relaxation. The functional is PBE.

```
SmHo7Sc4
1.0
6.016 0.000 0.000
-0.006 6.943 0.000
-2.014 -0.003 8.303
Sm Ho Sc
1 7 4
direct
0.000 0.000 0.000
0.000 0.500 0.000
0.224 0.000 0.663
0.284 0.744 0.340
0.498 0.255 0.005
0.502 0.745 0.995
0.716 0.256 0.660
0.776 0.000 0.337
0.216 0.500 0.660
0.275 0.255 0.338
0.725 0.745 0.662
0.784 0.500 0.340
```

Calculated values
- offset from the most stable computed form (meV/atom) = 0
- calculated density (g/cm³) = 7.109
- ΔE_f (meV/atom) = 21
- calculated volume (Å³ per cell) = 347
- E_tot (eV/atom) = -5.15

---

Record 2
This record from Alexandria via LeMat-Bulk describes ThMnP2Os after structural relaxation. The functional is PBE.

```
ThMnP2Os
1.0
-2.033 2.033 4.906
2.033 -2.033 4.906
2.033 2.033 -4.906
Th Mn P Os
1 1 2 1
direct
0.000 0.000 0.000
0.250 0.750 0.500
0.364 0.364 0.000
0.636 0.636 0.000
0.750 0.250 0.500
```

Calculated values
- calculated density (g/cm³) = 11.041
- ΔE_f (meV/atom) = -829
- calculated volume (Å³ per cell) = 81
- E_tot (eV/atom) = -8.56

---

Record 3
This record from Alexandria via LeMat-Bulk describes SmPuSe2Cl after structural relaxation. The functional is PBE.

```
SmPuSe2Cl
1.0
4.225 0.000 0.000
0.000 4.225 0.000
0.000 0.000 14.194
Sm Pu Se Cl
2 2 4 2
direct
0.250 0.250 0.103
0.750 0.750 0.897
0.250 0.250 0.642
0.750 0.750 0.358
0.250 0.250 0.303
0.250 0.250 0.889
0.750 0.750 0.111
0.750 0.750 0.697
0.250 0.750 0.500
0.750 0.250 0.500
```

Calculated values
- raw formation energy (eV/f.u.) = -8.51
- calculated density (g/cm³) = 7.703
- calculated volume (Å³ per cell) = 253
- E_tot (eV/atom) = -7.27

---

Record 4
This record from Alexandria via LeMat-Bulk describes VTcW after structural relaxation. The functional is PBE.

```
VTcW
1.0
1.546 -6.488 0.000
1.546 6.488 0.000
0.000 0.000 4.411
V Tc W
2 2 2
direct
0.249 0.751 0.750
0.751 0.249 0.250
0.415 0.585 0.250
0.585 0.415 0.750
0.088 0.912 0.250
0.912 0.088 0.750
```

Calculated values
- offset from the most stable computed form (meV/atom) = 0
- calculated density (g/cm³) = 12.490
- ΔE_f (meV/atom) = -139
- calculated volume (Å³ per cell) = 88
- E_tot (eV/atom) = -10.95

---

> Which value of E_tot does entry 2 give?

-8.56 eV/atom

---

Please write out number 3 again, unchanged.
This record from Alexandria via LeMat-Bulk describes SmPuSe2Cl after structural relaxation. The functional is PBE.

```
SmPuSe2Cl
1.0
4.225 0.000 0.000
0.000 4.225 0.000
0.000 0.000 14.194
Sm Pu Se Cl
2 2 4 2
direct
0.250 0.250 0.103
0.750 0.750 0.897
0.250 0.250 0.642
0.750 0.750 0.358
0.250 0.250 0.303
0.250 0.250 0.889
0.750 0.750 0.111
0.750 0.750 0.697
0.250 0.750 0.500
0.750 0.250 0.500
```

Calculated values
- raw formation energy (eV/f.u.) = -8.51
- calculated density (g/cm³) = 7.703
- calculated volume (Å³ per cell) = 253
- E_tot (eV/atom) = -7.27

---

> What is the calculated volume in the third record?

253 Å³ per cell